Entry from the Alexandria database: MgCrAgF6 after structural relaxation (PBE+U).

Calculated values
DFT total energy in eV/atom: -5.1970

Cell: 5.3210 5.3210 10.4606 Å, 90.00 90.00 120.00°
Space group P-31c (No. 163)
Asymmetric unit:
1 Mg 0.3333 0.6667 0.2500
2 Cr 0.3333 0.6667 0.7500
3 Ag 0.0000 0.0000 0.0000
4 F 0.0094 0.3747 0.6489